(1)
Material: BaCdAg2
Method: DFT, meta-GGA SCAN
State: single point on PBEsol structure

a = 4.760 Å, b = 4.760 Å, c = 6.203 Å
α = 67.43°, β = 67.43°, γ = 60.00°
Atoms (fractional coordinates):
Cd 0.296 0.296 0.113
Ag 0.005 0.005 0.986
Ag 0.696 0.696 0.912
Ba 0.496 0.496 0.513

- V (Å³/cell) = 109.1
- uncorrected energy (eV/atom) = -33.410
- energy relative to the elements (kJ/mol of formula units) = -91
- crystal system = trigonal
- SG = No. 160


(2)
Material: Ba2CdAg
Method: DFT, meta-GGA SCAN
State: single point on PBEsol structure

a = 4.858 Å, b = 4.858 Å, c = 8.458 Å
α = 73.31°, β = 73.31°, γ = 60.00°
Atoms (fractional coordinates):
Cd 0.542 0.542 0.375
Ba 0.787 0.787 0.638
Ba 0.963 0.963 0.112
Ag 0.208 0.208 0.375

- V (Å³/cell) = 163.1
- uncorrected energy (eV/atom) = -35.487
- energy relative to the elements (kJ/mol of formula units) = -103
- crystal system = trigonal
- SG = No. 160


Question: Look up the V of the second one.
Answer: 163.1 Å³/cell


Question: Number 2 is which compound?
Answer: Ba2CdAg